# AcCdBiRh, optimized geometry, DFT PBE
data_AcCdBiRh
_symmetry_space_group_name_H-M 'F -4 3 m'
_symmetry_Int_Tables_number 216
_symmetry_space_group_name_Hall 'F -4 2 3'
_cell_length_a 7.4329
_cell_length_b 7.4329
_cell_length_c 7.4329
_cell_angle_alpha 90.00
_cell_angle_beta 90.00
_cell_angle_gamma 90.00
loop_
_atom_site_label
_atom_site_type_symbol
_atom_site_fract_x
_atom_site_fract_y
_atom_site_fract_z
_atom_site_occupancy
Ac1 Ac 0.0000 0.0000 0.0000 1
Cd1 Cd 0.2500 0.2500 0.2500 1
Bi1 Bi 0.0000 0.0000 0.5000 1
Rh1 Rh 0.2500 0.2500 0.7500 1
# - total magnetization (μB/cell) = 0.00
# - total energy (eV/atom) = -4.3385
# - E_form (kJ/mol of formula units) = -106


# Ac2CdBi4Rh3, optimized geometry, DFT PBE
data_Ac2CdBi4Rh3
_symmetry_space_group_name_H-M 'P -4 m 2'
_symmetry_Int_Tables_number 115
_cell_length_a 4.7665
_cell_length_b 4.7665
_cell_length_c 11.4763
_cell_angle_alpha 90.00
_cell_angle_beta 90.00
_cell_angle_gamma 90.00
loop_
_symmetry_equiv_pos_as_xyz
'x,y,z'
'y,-x,-z'
'-x,-y,z'
'-y,x,-z'
'-x,y,z'
'-y,-x,-z'
'x,-y,z'
'y,x,-z'
loop_
_atom_site_label
_atom_site_type_symbol
_atom_site_fract_x
_atom_site_fract_y
_atom_site_fract_z
_atom_site_occupancy
Ac1 Ac 0.0000 0.5000 0.2446 1
Cd1 Cd 0.0000 0.0000 0.5000 1
Bi1 Bi 0.0000 0.0000 0.0000 1
Bi2 Bi 0.0000 0.5000 0.6432 1
Bi3 Bi 0.5000 0.5000 0.0000 1
Rh1 Rh 0.0000 0.5000 0.8769 1
Rh2 Rh 0.5000 0.5000 0.5000 1
# - total magnetization (μB/cell) = 0.00
# - total energy (eV/atom) = -5.1349
# - E_form (kJ/mol of formula units) = -448


# AcCdBiS, optimized geometry, DFT PBE
data_AcCdBiS
_symmetry_space_group_name_H-M 'P 4/n m m'
_symmetry_Int_Tables_number 129
_cell_length_a 4.8905
_cell_length_b 4.8905
_cell_length_c 10.0411
_cell_angle_alpha 90.00
_cell_angle_beta 90.00
_cell_angle_gamma 90.00
loop_
_symmetry_equiv_pos_as_xyz
'x,y,z'
'-x,-y,-z'
'-y+1/2,x,z'
'y+1/2,-x,-z'
'-x+1/2,-y+1/2,z'
'x+1/2,y+1/2,-z'
'y,-x+1/2,z'
'-y,x+1/2,-z'
'x+1/2,-y,-z'
'-x+1/2,y,z'
'-y,-x,-z'
'y,x,z'
'-x,y+1/2,-z'
'x,-y+1/2,z'
'y+1/2,x+1/2,-z'
'-y+1/2,-x+1/2,z'
loop_
_atom_site_label
_atom_site_type_symbol
_atom_site_fract_x
_atom_site_fract_y
_atom_site_fract_z
_atom_site_occupancy
Ac1 Ac 0.2500 0.2500 0.1581 1
Cd1 Cd 0.2500 0.7500 0.5000 1
Bi1 Bi 0.2500 0.2500 0.6903 1
S1 S 0.2500 0.7500 0.0000 1
# - total magnetization (μB/cell) = 0.00
# - total energy (eV/atom) = -4.3087
# - energy relative to the elements, uncorrected (eV/atom) = -1.051


# AcCd2BiSb, optimized geometry, DFT PBE
data_AcCd2BiSb
_symmetry_space_group_name_H-M 'I 4 m m'
_symmetry_Int_Tables_number 107
_symmetry_space_group_name_Hall 'I 4 -2'
_cell_length_a 4.4733
_cell_length_b 4.4733
_cell_length_c 15.2868
_cell_angle_alpha 90.00
_cell_angle_beta 90.00
_cell_angle_gamma 90.00
loop_
_atom_site_label
_atom_site_type_symbol
_atom_site_fract_x
_atom_site_fract_y
_atom_site_fract_z
_atom_site_occupancy
Ac1 Ac 0.0000 0.0000 0.0000 1
Cd1 Cd 0.0000 0.5000 0.2374 1
Bi1 Bi 0.0000 0.0000 0.3814 1
Sb1 Sb 0.0000 0.0000 0.5983 1
# - total magnetization (μB/cell) = 0.00
# - total energy (eV/atom) = -3.1452
# - energy relative to the elements, uncorrected (eV/atom) = -0.357


# AcScCdBi, optimized geometry, DFT PBE
data_AcScCdBi
_symmetry_space_group_name_H-M 'F -4 3 m'
_symmetry_Int_Tables_number 216
_symmetry_space_group_name_Hall 'F -4 2 3'
_cell_length_a 7.8240
_cell_length_b 7.8240
_cell_length_c 7.8240
_cell_angle_alpha 90.00
_cell_angle_beta 90.00
_cell_angle_gamma 90.00
loop_
_atom_site_label
_atom_site_type_symbol
_atom_site_fract_x
_atom_site_fract_y
_atom_site_fract_z
_atom_site_occupancy
Ac1 Ac 0.0000 0.0000 0.0000 1
Sc1 Sc 0.0000 0.0000 0.5000 1
Cd1 Cd 0.2500 0.2500 0.2500 1
Bi1 Bi 0.2500 0.2500 0.7500 1
# - total magnetization (μB/cell) = 0.00
# - total energy (eV/atom) = -4.1355
# - E_form (kJ/mol of formula units) = -126


# AcCdBiSe, optimized geometry, DFT PBE
data_AcCdBiSe
_symmetry_space_group_name_H-M 'P 4/n m m'
_symmetry_Int_Tables_number 129
_cell_length_a 5.0470
_cell_length_b 5.0470
_cell_length_c 9.7262
_cell_angle_alpha 90.00
_cell_angle_beta 90.00
_cell_angle_gamma 90.00
loop_
_symmetry_equiv_pos_as_xyz
'x,y,z'
'-x,-y,-z'
'-y+1/2,x,z'
'y+1/2,-x,-z'
'-x+1/2,-y+1/2,z'
'x+1/2,y+1/2,-z'
'y,-x+1/2,z'
'-y,x+1/2,-z'
'x+1/2,-y,-z'
'-x+1/2,y,z'
'-y,-x,-z'
'y,x,z'
'-x,y+1/2,-z'
'x,-y+1/2,z'
'y+1/2,x+1/2,-z'
'-y+1/2,-x+1/2,z'
loop_
_atom_site_label
_atom_site_type_symbol
_atom_site_fract_x
_atom_site_fract_y
_atom_site_fract_z
_atom_site_occupancy
Ac1 Ac 0.2500 0.2500 0.1758 1
Cd1 Cd 0.2500 0.7500 0.5000 1
Bi1 Bi 0.2500 0.2500 0.6906 1
Se1 Se 0.2500 0.7500 0.0000 1
# - total magnetization (μB/cell) = 0.00
# - total energy (eV/atom) = -4.0377
# - energy relative to the elements, uncorrected (eV/atom) = -0.940


# AcSmCdBi, optimized geometry, DFT PBE
data_AcSmCdBi
_symmetry_space_group_name_H-M 'F -4 3 m'
_symmetry_Int_Tables_number 216
_symmetry_space_group_name_Hall 'F -4 2 3'
_cell_length_a 8.0161
_cell_length_b 8.0161
_cell_length_c 8.0161
_cell_angle_alpha 90.00
_cell_angle_beta 90.00
_cell_angle_gamma 90.00
loop_
_atom_site_label
_atom_site_type_symbol
_atom_site_fract_x
_atom_site_fract_y
_atom_site_fract_z
_atom_site_occupancy
Ac1 Ac 0.0000 0.0000 0.0000 1
Sm1 Sm 0.0000 0.0000 0.5000 1
Cd1 Cd 0.2500 0.2500 0.2500 1
Bi1 Bi 0.2500 0.2500 0.7500 1
# - total magnetization (μB/cell) = 0.00
# - total energy (eV/atom) = -3.8582
# - E_form (kJ/mol of formula units) = -175


# AcTbCdBi, optimized geometry, DFT PBE
data_AcTbCdBi
_symmetry_space_group_name_H-M 'F -4 3 m'
_symmetry_Int_Tables_number 216
_symmetry_space_group_name_Hall 'F -4 2 3'
_cell_length_a 7.9775
_cell_length_b 7.9775
_cell_length_c 7.9775
_cell_angle_alpha 90.00
_cell_angle_beta 90.00
_cell_angle_gamma 90.00
loop_
_atom_site_label
_atom_site_type_symbol
_atom_site_fract_x
_atom_site_fract_y
_atom_site_fract_z
_atom_site_occupancy
Ac1 Ac 0.0000 0.0000 0.0000 1
Tb1 Tb 0.0000 0.0000 0.5000 1
Cd1 Cd 0.2500 0.2500 0.7500 1
Bi1 Bi 0.2500 0.2500 0.2500 1
# - total magnetization (μB/cell) = 0.00
# - total energy (eV/atom) = -3.8085
# - E_form (kJ/mol of formula units) = -164


# AcThCdBi, optimized geometry, DFT PBE
data_AcThCdBi
_symmetry_space_group_name_H-M 'F -4 3 m'
_symmetry_Int_Tables_number 216
_symmetry_space_group_name_Hall 'F -4 2 3'
_cell_length_a 8.0307
_cell_length_b 8.0307
_cell_length_c 8.0307
_cell_angle_alpha 90.00
_cell_angle_beta 90.00
_cell_angle_gamma 90.00
loop_
_atom_site_label
_atom_site_type_symbol
_atom_site_fract_x
_atom_site_fract_y
_atom_site_fract_z
_atom_site_occupancy
Ac1 Ac 0.0000 0.0000 0.0000 1
Th1 Th 0.0000 0.0000 0.5000 1
Cd1 Cd 0.2500 0.2500 0.7500 1
Bi1 Bi 0.2500 0.2500 0.2500 1
# - total magnetization (μB/cell) = 0.00
# - total energy (eV/atom) = -4.3642
# - E_form (kJ/mol of formula units) = -109


# AcTmCdBi, optimized geometry, DFT PBE
data_AcTmCdBi
_symmetry_space_group_name_H-M 'F -4 3 m'
_symmetry_Int_Tables_number 216
_symmetry_space_group_name_Hall 'F -4 2 3'
_cell_length_a 7.9436
_cell_length_b 7.9436
_cell_length_c 7.9436
_cell_angle_alpha 90.00
_cell_angle_beta 90.00
_cell_angle_gamma 90.00
loop_
_atom_site_label
_atom_site_type_symbol
_atom_site_fract_x
_atom_site_fract_y
_atom_site_fract_z
_atom_site_occupancy
Ac1 Ac 0.0000 0.0000 0.0000 1
Tm1 Tm 0.0000 0.0000 0.5000 1
Cd1 Cd 0.2500 0.2500 0.2500 1
Bi1 Bi 0.2500 0.2500 0.7500 1
# - total magnetization (μB/cell) = 0.00
# - total energy (eV/atom) = -3.7300
# - E_form (kJ/mol of formula units) = -149


# AcYCdBi, optimized geometry, DFT PBE
data_AcYCdBi
_symmetry_space_group_name_H-M 'F -4 3 m'
_symmetry_Int_Tables_number 216
_symmetry_space_group_name_Hall 'F -4 2 3'
_cell_length_a 7.9745
_cell_length_b 7.9745
_cell_length_c 7.9745
_cell_angle_alpha 90.00
_cell_angle_beta 90.00
_cell_angle_gamma 90.00
loop_
_atom_site_label
_atom_site_type_symbol
_atom_site_fract_x
_atom_site_fract_y
_atom_site_fract_z
_atom_site_occupancy
Ac1 Ac 0.0000 0.0000 0.0000 1
Y1 Y 0.0000 0.0000 0.5000 1
Cd1 Cd 0.2500 0.2500 0.2500 1
Bi1 Bi 0.2500 0.2500 0.7500 1
# - total magnetization (μB/cell) = 0.00
# - total energy (eV/atom) = -4.2768
# - E_form (kJ/mol of formula units) = -168


# AcCe2Bi, optimized geometry, DFT PBE
data_AcCe2Bi
_symmetry_space_group_name_H-M 'P 4/m m m'
_symmetry_Int_Tables_number 123
_symmetry_space_group_name_Hall '-P 4 2'
_cell_length_a 4.2979
_cell_length_b 4.2979
_cell_length_c 7.3225
_cell_angle_alpha 90.00
_cell_angle_beta 90.00
_cell_angle_gamma 90.00
loop_
_atom_site_label
_atom_site_type_symbol
_atom_site_fract_x
_atom_site_fract_y
_atom_site_fract_z
_atom_site_occupancy
Ac1 Ac 0.0000 0.0000 0.0000 1
Ce1 Ce 0.5000 0.5000 0.3147 1
Bi1 Bi 0.0000 0.0000 0.5000 1
# - total magnetization (μB/cell) = 1.83
# - relative energy among the computed polymorphs (meV/atom) = 0
# - total energy (eV/atom) = -5.2953
# - E_form (kJ/mol of formula units) = -128